Entry 1:
This record from the Alexandria database describes an optimized crystal structure of Mn2Be2Pt. The functional is GGA-PBE.

The structure in POSCAR format:
```
Mn2Be2Pt
1.0
-1.886 -1.795 5.245
-1.722 -5.076 -2.357
2.751 -1.202 0.578
Be Mn Pt
4 4 2
Cartesian
-2.214 -5.114 -0.096
-2.727 -4.744 3.115
-1.395 -1.758 2.984
-0.882 -2.127 -0.227
-0.088 -4.286 -0.407
-1.317 -6.027 1.823
-0.770 -3.787 3.873
0.460 -2.046 1.643
0.000 0.000 0.000
-1.804 -3.436 1.444
```

## Properties
Symmetry: P4/mbm
Crystal system: tetragonal
Uncorrected energy, eV per atom: -6.473
Energy relative to the elements, eV per atom: -0.106

Entry 2:
This record from the Alexandria database describes an optimized crystal structure of K4HgBr2. The functional is GGA-PBE.

The structure in POSCAR format:
```
K4HgBr2
1.0
-3.254 -1.311 -5.396
5.454 -1.931 -2.820
-0.302 -9.672 -1.306
K Hg Br
4 1 2
Cartesian
1.614 -6.606 -7.045
0.284 -6.309 -2.476
2.727 -0.966 -1.410
-1.627 -0.656 -2.698
0.000 0.000 0.000
1.109 -9.508 -6.035
0.789 -3.407 -3.486
```

## Properties
Symmetry: I4/mmm
Crystal system: tetragonal
Uncorrected energy, eV per atom: -1.924
Formation energy from raw total energies, eV per formula unit: -5.432

Entry 3:
This record from the Alexandria database describes an optimized crystal structure of Ac3CuPd. The functional is GGA-PBE.

The structure in POSCAR format:
```
Ac3CuPd
1.0
-4.694 3.263 5.479
0.622 -7.402 4.941
7.196 5.714 2.763
Ac Cu Pd
12 4 4
Cartesian
5.373 0.503 6.109
-2.249 1.072 7.074
-1.072 -3.231 8.533
4.196 4.806 4.650
3.222 3.348 8.574
-0.098 -1.772 4.609
0.850 -5.916 6.336
2.274 7.492 6.847
-0.459 4.757 7.990
3.583 -3.182 5.193
1.112 2.020 5.244
2.012 -0.445 7.939
0.401 2.008 8.824
2.723 -0.432 4.359
2.137 -3.510 7.876
0.987 5.085 5.307
6.603 2.855 4.307
-3.479 -1.280 8.876
-1.730 0.989 4.001
4.854 0.587 9.182
```

## Properties
Symmetry: P2_1/c
Crystal system: monoclinic
Uncorrected energy, eV per atom: -4.673
Energy relative to the elements, eV per atom: -0.350

Entry 4:
This record from the Alexandria database describes an optimized crystal structure of Th8P3PdSe4. The functional is GGA-PBE.

The structure in POSCAR format:
```
Th8P3PdSe4
1.0
8.354 0.000 0.000
0.000 8.409 0.033
-4.177 -4.173 5.910
Th P Pd Se
8 3 1 4
Cartesian
-2.059 2.055 5.858
0.000 4.112 2.945
0.000 0.125 3.041
2.059 2.055 5.858
2.118 2.181 0.084
4.177 4.111 2.902
4.177 0.124 2.998
6.236 2.181 0.084
4.177 4.204 0.016
2.088 2.118 2.971
-2.088 2.118 2.971
0.000 4.204 0.016
4.177 0.000 0.000
2.088 -2.086 2.955
0.000 0.000 0.000
-2.088 -2.086 2.955
```

## Properties
Symmetry: R-3m
Crystal system: trigonal
Uncorrected energy, eV per atom: -7.388
Formation energy from raw total energies, eV per formula unit: -23.486

Entry 5:
This record from the Alexandria database describes an optimized crystal structure of HoTm2Pt. The functional is GGA-PBE.

The structure in POSCAR format:
```
HoTm2Pt
1.0
6.431 0.000 0.000
0.000 6.991 0.000
0.000 0.000 9.422
Ho Tm Pt
4 8 4
Cartesian
4.034 3.664 2.355
5.612 0.168 2.355
2.396 3.327 7.066
0.819 6.822 7.066
1.153 4.756 0.571
2.062 1.260 4.140
5.277 2.235 5.281
4.369 5.730 8.851
5.277 2.235 8.851
4.369 5.730 5.281
1.153 4.756 4.140
2.062 1.260 0.571
0.323 2.723 2.355
2.893 6.218 2.355
6.108 4.268 7.066
3.538 0.773 7.066
```

## Properties
E above lowest polymorph, meV per atom: 0
Symmetry: Pnma
Crystal system: orthorhombic
Uncorrected energy, eV per atom: -5.634
Energy relative to the elements, eV per atom: -0.744

Entry 6:
This record from the Alexandria database describes an optimized crystal structure of Dy4AgRh. The functional is GGA-PBE.

The structure in POSCAR format:
```
Dy4AgRh
1.0
8.243 0.000 4.759
2.748 7.771 4.759
0.000 0.000 9.518
Dy Ag Rh
16 4 4
Cartesian
4.365 3.087 7.560
7.756 3.087 9.518
5.495 6.283 9.518
4.365 3.087 11.476
6.173 4.365 14.277
10.313 7.292 14.277
7.208 7.292 12.485
9.278 4.365 16.070
9.278 4.365 12.485
7.208 7.292 16.070
2.040 1.443 9.518
8.950 6.329 9.518
3.768 6.329 6.526
7.223 1.443 12.510
7.223 1.443 6.526
3.768 6.329 12.510
1.845 1.305 3.196
4.553 1.305 4.759
2.748 3.858 4.759
1.845 1.305 6.322
6.667 4.715 11.548
3.151 4.715 9.518
5.495 1.399 9.518
6.667 4.715 7.488
```

## Properties
E above lowest polymorph, meV per atom: 0
Symmetry: F-43m
Crystal system: cubic
Uncorrected energy, eV per atom: -5.241
Energy relative to the elements, eV per atom: -0.472

Entry 7:
This record from the Alexandria database describes an optimized crystal structure of TbDy5ErIn2. The functional is GGA-PBE.

The structure in POSCAR format:
```
TbDy5ErIn2
1.0
7.616 0.000 0.000
0.000 7.616 0.000
-3.808 -3.808 9.711
Tb Dy Er In
2 10 2 4
Cartesian
0.000 0.000 4.855
3.808 3.808 4.855
6.087 2.279 2.410
2.279 -1.529 7.301
-2.279 1.529 7.301
-1.529 -2.279 7.301
1.529 2.279 7.301
5.337 6.087 2.410
2.279 1.529 2.410
1.529 5.337 2.410
3.808 3.808 0.000
0.000 0.000 0.000
0.000 3.808 4.855
3.808 0.000 4.855
0.943 2.865 0.000
4.751 0.943 0.000
2.865 6.673 0.000
6.673 4.751 0.000
```

## Properties
Symmetry: I4/mcm
Crystal system: tetragonal
Uncorrected energy, eV per atom: -4.184
Energy relative to the elements, eV per atom: 0.002

Entry 8:
This record from the Alexandria database describes an optimized crystal structure of PrGa2Ni. The functional is GGA-PBE.

The structure in POSCAR format:
```
PrGa2Ni
1.0
-1.716 -2.810 8.442
-1.115 -0.309 -8.987
3.110 -2.773 -0.291
Pr Ga Ni
2 4 2
Cartesian
0.055 -3.297 2.031
0.224 -2.594 -2.867
-1.591 -2.288 4.805
-1.241 -0.831 -5.350
1.555 -1.386 -0.145
-1.416 -1.559 -0.273
-1.672 -2.628 7.176
-1.159 -0.491 -7.721
```

## Properties
Symmetry: Cmmm
Crystal system: orthorhombic
Uncorrected energy, eV per atom: -4.783
Energy relative to the elements, eV per atom: -0.630

Entry 9:
This record from the Alexandria database describes an optimized crystal structure of FeMoPt2. The functional is GGA-PBE.

The structure in POSCAR format:
```
FeMoPt2
1.0
4.444 0.000 0.000
0.000 2.731 0.001
0.000 -0.002 4.870
Mo Fe Pt
1 1 2
Cartesian
2.222 1.705 3.823
0.000 1.706 2.248
0.000 0.339 4.655
2.222 0.341 1.451
```

## Properties
Symmetry: Pmm2
Crystal system: orthorhombic
Uncorrected energy, eV per atom: -8.083
Energy relative to the elements, eV per atom: -0.239

Entry 10:
This record from the Alexandria database describes an optimized crystal structure of LaAsRu3. The functional is GGA-PBE.

The structure in POSCAR format:
```
LaAsRu3
1.0
4.805 0.000 0.000
0.000 4.805 0.000
0.000 0.000 4.805
Ru As La
3 1 1
Cartesian
0.000 2.403 0.000
0.000 0.000 2.403
2.403 0.000 0.000
2.403 2.403 2.403
0.000 0.000 0.000
```

## Properties
E above lowest polymorph, meV per atom: 1762
Symmetry: Pm-3m
Crystal system: cubic
Uncorrected energy, eV per atom: -5.621
Energy relative to the elements, eV per atom: 1.860

Entry 11:
This record from the Alexandria database describes an optimized crystal structure of ZrPa4N4. The functional is GGA-PBE.

The structure in POSCAR format:
```
ZrPa4N4
1.0
-3.033 0.893 -3.922
1.222 -3.088 -4.883
-4.790 -3.444 -0.315
Zr Pa N
1 4 4
Cartesian
0.000 0.000 0.000
-2.019 -2.007 -5.366
-4.582 -3.632 -3.754
-2.274 -1.785 -1.883
-4.327 -3.854 -7.237
-6.095 -3.143 -5.708
-0.506 -2.496 -3.412
-2.846 -4.302 -5.249
-3.755 -1.337 -3.871
```

## Properties
Symmetry: I4/m
Crystal system: tetragonal
Uncorrected energy, eV per atom: -10.266
Formation energy from raw total energies, eV per formula unit: -12.558

Entry 12:
This record from the Alexandria database describes an optimized crystal structure of Mg2Cd6Pd. The functional is GGA-PBE.

The structure in POSCAR format:
```
Mg2Cd6Pd
1.0
4.197 0.000 0.000
-2.099 4.674 -1.500
0.000 -0.198 9.447
Mg Cd Pd
2 6 1
Cartesian
2.099 1.229 6.145
0.000 3.246 1.802
0.000 2.891 7.886
2.099 1.585 0.061
0.000 -0.007 1.665
2.099 1.539 3.186
2.099 4.483 6.283
0.000 2.937 4.761
0.000 -0.099 4.724
```

## Properties
E above lowest polymorph, meV per atom: 0
Symmetry: C2/m
Crystal system: monoclinic
Uncorrected energy, eV per atom: -1.705
Energy relative to the elements, eV per atom: -0.163